1.
This record from Alexandria via LeMat-Bulk describes crystalline Pm3DySb4 at its relaxed geometry. The functional is PBE-GGA.

Results
Space-group type: Pm-3m (221)
Offset from the most stable computed form: 0.0 kJ/mol of atoms

Cell: 6.3128 6.3128 6.3128 Å, 90.00 90.00 90.00°
Closest atoms and distances in Å follow each position.
Fractional coordinates of all 8 atoms:
Sb 0.5000 0.0000 0.0000  4 Pm 3.16, 2 Dy 3.16
Sb 0.0000 0.5000 0.0000  4 Pm 3.16, 2 Dy 3.16
Sb 0.0000 0.0000 0.5000  4 Pm 3.16, 2 Dy 3.16
Sb 0.5000 0.5000 0.5000  6 Pm 3.16
Dy 0.0000 0.0000 0.0000  6 Sb 3.16
Pm 0.0000 0.5000 0.5000  6 Sb 3.16
Pm 0.5000 0.0000 0.5000  6 Sb 3.16
Pm 0.5000 0.5000 0.0000  6 Sb 3.16


2.
This record from Alexandria via LeMat-Bulk describes crystalline Pm2DySb at its relaxed geometry. The functional is PBE-GGA.

Results
Space-group type: R3m (160)
Offset from the most stable computed form: 18.9 kJ/mol of atoms

Cell: 4.0855 4.0855 9.8747 Å, 78.06 78.06 60.00°
Closest atoms and distances in Å follow each position.
Fractional coordinates of all 4 atoms:
Pm 0.0687 0.0687 0.7939  3 Sb 3.08
Pm 0.2647 0.2647 0.2058  3 Sb 3.07
Dy 0.5001 0.5001 0.4998  6 Pm 3.68, 6 Dy 4.09
Sb 0.6665 0.6665 0.0006  6 Pm 3.07-3.08


3.
This record from Alexandria via LeMat-Bulk describes crystalline Pm3DySb2 at its relaxed geometry. The functional is PBE-GGA.

Results
Space-group type: P-4m2 (115)
Offset from the most stable computed form: 0.0 kJ/mol of atoms

Cell: 4.5490 4.5490 8.7277 Å, 90.00 90.00 90.00°
Closest atoms and distances in Å follow each position.
Fractional coordinates of all 6 atoms:
Pm 0.5000 0.0000 0.3537  5 Sb 3.22-3.29
Pm 0.0000 0.5000 0.6463  5 Sb 3.22-3.29
Pm 0.0000 0.0000 0.0000  4 Dy 3.22, 4 Sb 3.32
Dy 0.5000 0.5000 0.0000  4 Pm 3.22, 4 Sb 3.32
Sb 0.5000 0.0000 0.7231  7 Pm 3.22-3.32, 2 Dy 3.32
Sb 0.0000 0.5000 0.2769  7 Pm 3.22-3.32, 2 Dy 3.32


4.
This record from Alexandria via LeMat-Bulk describes crystalline Pm3Dy4Sb4 at its relaxed geometry. The functional is PBE-GGA.

Results
Space-group type: Amm2 (38)

Cell: 4.3252 7.2493 11.2580 Å, 90.00 90.00 107.36°
Closest atoms and distances in Å follow each position.
Fractional coordinates of all 11 atoms:
Pm 0.3635 0.7271 0.3507  4 Sb 3.22-3.24, 1 Pm 3.36
Pm 0.3635 0.7271 0.6493  4 Sb 3.22-3.24, 1 Pm 3.36
Pm 0.2948 0.5895 0.0000  6 Sb 3.05-3.41
Dy 0.6581 0.3161 0.5000  4 Sb 3.19-3.31
Dy 0.5930 0.1861 0.0000  4 Sb 2.93-3.09
Dy 0.0652 0.1305 0.7554  4 Sb 3.07-3.18
Dy 0.0652 0.1305 0.2446  4 Sb 3.07-3.18
Sb 0.7283 0.4565 0.7810  4 Dy 3.09-3.31, 4 Pm 3.22-3.41
Sb 0.7283 0.4565 0.2190  4 Dy 3.09-3.31, 4 Pm 3.22-3.41
Sb 0.9882 0.9765 0.5000  4 Dy 3.07-3.19, 4 Pm 3.24
Sb 0.9503 0.9007 0.0000  4 Dy 2.93-3.18, 2 Pm 3.05


5.
This record from Alexandria via LeMat-Bulk describes crystalline PmDy2Sb3 at its relaxed geometry. The functional is PBE-GGA.

Results
Space-group type: Immm (71)

Cell: 4.4218 6.2524 7.6568 Å, 114.10 106.78 90.00°
Closest atoms and distances in Å follow each position.
Fractional coordinates of all 6 atoms:
Pm 0.5000 0.5000 0.5000  6 Sb 3.13-3.16
Dy 0.8344 0.8344 0.1688  6 Sb 3.10-3.13
Dy 0.1656 0.1656 0.8312  6 Sb 3.10-3.13
Sb 0.8295 0.3295 0.1590  4 Dy 3.10-3.13, 2 Pm 3.16
Sb 0.1705 0.6705 0.8410  4 Dy 3.10-3.13, 2 Pm 3.16
Sb 0.5000 0.0000 0.5000  4 Dy 3.12, 2 Pm 3.13


6.
This record from Alexandria via LeMat-Bulk describes crystalline Pm3DySb3 at its relaxed geometry. The functional is PBE-GGA.

Results
Space-group type: R-3 (148)
Offset from the most stable computed form: 9.5 kJ/mol of atoms

Cell: 9.1423 9.1423 8.1951 Å, 56.10 56.10 60.00°
Closest atoms and distances in Å follow each position.
Fractional coordinates of all 14 atoms:
Pm 0.3478 0.8210 0.7397  5 Sb 3.12-3.32
Pm 0.8210 0.0916 0.7397  5 Sb 3.12-3.32
Pm 0.0916 0.3478 0.7397  5 Sb 3.12-3.32
Pm 0.9084 0.6522 0.2603  5 Sb 3.12-3.32
Pm 0.1790 0.9084 0.2603  5 Sb 3.12-3.32
Pm 0.6522 0.1790 0.2603  5 Sb 3.12-3.32
Dy 0.3330 0.3330 0.0011  6 Sb 3.16-3.23
Dy 0.6670 0.6670 0.9989  6 Sb 3.16-3.23
Sb 0.3056 0.5315 0.2370  5 Pm 3.12-3.32, 2 Dy 3.16-3.23
Sb 0.9259 0.3056 0.2370  5 Pm 3.12-3.32, 2 Dy 3.16-3.23
Sb 0.5315 0.9259 0.2370  5 Pm 3.12-3.32, 2 Dy 3.16-3.23
Sb 0.4685 0.0741 0.7630  5 Pm 3.12-3.32, 2 Dy 3.16-3.23
Sb 0.0741 0.6944 0.7630  5 Pm 3.12-3.32, 2 Dy 3.16-3.23
Sb 0.6944 0.4685 0.7630  5 Pm 3.12-3.32, 2 Dy 3.16-3.23


7.
This record from Alexandria via LeMat-Bulk describes crystalline PmDy2ScSb4 at its relaxed geometry. The functional is PBE-GGA.

Results
Space-group type: P2/m (10)

Cell: 4.3672 7.5517 7.5611 Å, 109.49 90.00 90.00°
Closest atoms and distances in Å follow each position.
Fractional coordinates of all 8 atoms:
Pm 0.5000 0.5000 0.0000  6 Sb 3.12
Dy 0.5000 0.0000 0.5000  6 Sb 3.06
Dy 0.0000 0.5000 0.5000  6 Sb 3.14-3.15
Sc 0.0000 0.0000 0.0000  6 Sb 3.03
Sb 0.5000 0.2380 0.2428  2 Sc 3.03, 3 Dy 3.06-3.15, 1 Pm 3.12
Sb 0.5000 0.7620 0.7572  2 Sc 3.03, 3 Dy 3.06-3.15, 1 Pm 3.12
Sb 0.0000 0.2405 0.7499  1 Sc 3.03, 3 Dy 3.06-3.14, 2 Pm 3.12
Sb 0.0000 0.7595 0.2501  1 Sc 3.03, 3 Dy 3.06-3.14, 2 Pm 3.12


8.
This record from Alexandria via LeMat-Bulk describes crystalline PmDySbSe at its relaxed geometry. The functional is PBE-GGA.

Results
Space-group type: P4/mmm (123)

Cell: 4.3200 4.3200 6.0561 Å, 90.01 90.00 90.00°
Closest atoms and distances in Å follow each position.
Fractional coordinates of all 4 atoms:
Pm 0.0000 0.8915 0.0924  2 Se 3.03, 4 Sb 3.05
Dy 0.5000 0.3915 0.5925  2 Sb 3.03, 4 Se 3.05
Sb 0.5000 0.3915 0.0925  2 Dy 3.03, 4 Pm 3.05
Se 0.0000 0.8915 0.5924  2 Pm 3.03, 4 Dy 3.05


| no. | E_form (uncorrected) (eV/atom) |
| --- | --- |
| 1 | -1.173 |
| 2 | -0.341 |
| 3 | -0.829 |
| 4 | -0.733 |
| 5 | -1.147 |
| 6 | -0.942 |
| 7 | -1.075 |
| 8 | -1.446 |